Below is an optimized crystal structure of HfCoF3, with properties calculated at the PBE with a Hubbard U level.

Output
Crystal system = cubic
Total magnetization = 2.5 μB/f.u.
VASP energy = -5.982 eV per atom

Geometry as CIF:
```
data_HfCoF3
_cell_length_a 4.235
_cell_length_b 4.235
_cell_length_c 4.235
_cell_angle_alpha 90.00
_cell_angle_beta 90.00
_cell_angle_gamma 90.00
_space_group_name_H-M_alt 'P m -3 m'
_space_group_IT_number 221
_space_group_name_Hall '-P 4 2 3'
loop_
_atom_site_label
_atom_site_type_symbol
_atom_site_fract_x
_atom_site_fract_y
_atom_site_fract_z
Hf1 Hf 0.000 0.000 0.000
Co1 Co 0.500 0.500 0.500
F1 F 0.000 0.000 0.500
```